Be2NiIO6 | GGA+U | optimized geometry

```
data_Be2NiIO6
_cell_length_a 5.006
_cell_length_b 6.289
_cell_length_c 6.289
_cell_angle_alpha 87.02
_cell_angle_beta 82.63
_cell_angle_gamma 82.63
_symmetry_space_group_name_H-M 'P 1'
_symmetry_Int_Tables_number 1
loop_
_symmetry_equiv_pos_as_xyz
'x,y,z'
loop_
_atom_site_label
_atom_site_fract_x
_atom_site_fract_y
_atom_site_fract_z
O1 0.606 0.418 0.286
I1 0.250 0.286 0.714
O2 0.106 0.286 0.418
Ni1 0.750 0.088 0.912
Be1 0.704 0.606 0.784
O3 0.894 0.714 0.582
O4 0.881 0.383 0.855
O5 0.363 0.222 0.016
O6 0.637 0.778 0.984
Ni2 0.250 0.912 0.088
Be2 0.296 0.394 0.216
Be3 0.796 0.216 0.394
O7 0.119 0.617 0.145
O8 0.394 0.582 0.714
O9 0.863 0.016 0.222
O10 0.381 0.855 0.383
O11 0.619 0.145 0.617
O12 0.137 0.984 0.778
Be4 0.204 0.784 0.606
I2 0.750 0.714 0.286
```

Properties
Electronic total energy   -5.46 eV per atom
SG   No. 15